Record 1
## NaInAu (GGA-PBE)

Data for a relaxed NaInAu crystal. Values from VASP.

Cell and atoms, written as Quantum ESPRESSO input:
```
&SYSTEM
  ibrav = 0, nat = 3, ntyp = 3
/
ATOMIC_SPECIES
Na 22.99 Na.upf
In 114.82 In.upf
Au 196.97 Au.upf
CELL_PARAMETERS angstrom
-1.827 1.827 5.195
1.827 -1.827 5.195
1.827 1.827 -5.195
ATOMIC_POSITIONS crystal
Na 0.000 0.000 0.000
In 0.695 0.695 0.000
Au 0.327 0.327 0.000
```

calculated volume	23.12	Å³/atom
calculated formation energy	-0.22	eV/atom
space group	I4mm (107)
total magnetization	0.00	μB/cell

Record 2
## TiFe2HRh (GGA-PBE)

Data for a relaxed TiFe2HRh crystal. Values from VASP.

Cell and atoms, written as Quantum ESPRESSO input:
```
&SYSTEM
  ibrav = 0, nat = 5, ntyp = 4
/
ATOMIC_SPECIES
Ti 47.87 Ti.upf
Fe 55.84 Fe.upf
H 1.01 H.upf
Rh 102.91 Rh.upf
CELL_PARAMETERS angstrom
3.661 0.000 0.000
0.000 3.661 0.000
0.000 0.000 4.059
ATOMIC_POSITIONS crystal
Ti 0.000 0.000 0.000
Fe 0.000 0.500 0.500
Fe 0.500 0.000 0.500
H 0.000 0.000 0.500
Rh 0.500 0.500 0.000
```

calculated volume	10.88	Å³/atom
energy	-0.2713	hartree per atom
space group	P4/mmm (123)
total magnetization	3.82	μB/cell

Record 3
## Li2TaSi (GGA-PBE)

Data for a relaxed Li2TaSi crystal. Values from VASP.

Cell and atoms, written as Quantum ESPRESSO input:
```
&SYSTEM
  ibrav = 0, nat = 4, ntyp = 3
/
ATOMIC_SPECIES
Li 6.94 Li.upf
Ta 180.95 Ta.upf
Si 28.09 Si.upf
CELL_PARAMETERS angstrom
2.642 0.000 0.000
0.000 2.642 0.000
0.000 0.000 9.002
ATOMIC_POSITIONS crystal
Li 0.000 0.000 0.222
Li 0.000 0.000 0.778
Ta 0.500 0.500 0.500
Si 0.500 0.500 0.000
```

calculated volume	15.71	Å³/atom
energy relative to the elements, uncorrected	0.17	eV/atom
space group	P4/mmm (123)
total magnetization	0.00	μB/cell

Record 4
## Ag2Pd5Pb (GGA-PBE)

Data for a relaxed Ag2Pd5Pb crystal. Values from VASP.

Cell and atoms, written as Quantum ESPRESSO input:
```
&SYSTEM
  ibrav = 0, nat = 8, ntyp = 3
/
ATOMIC_SPECIES
Ag 107.87 Ag.upf
Pd 106.42 Pd.upf
Pb 207.20 Pb.upf
CELL_PARAMETERS angstrom
-2.090 2.090 7.744
2.090 -2.090 7.744
2.090 2.090 -7.744
ATOMIC_POSITIONS crystal
Ag 0.249 0.249 0.000
Ag 0.751 0.751 0.000
Pd 0.000 0.000 0.000
Pd 0.125 0.625 0.500
Pd 0.375 0.875 0.500
Pd 0.625 0.125 0.500
Pd 0.875 0.375 0.500
Pb 0.500 0.500 0.000
```

calculated volume	16.92	Å³/atom
calculated formation energy	-0.16	eV/atom
space group	I4/mmm (139)
total magnetization	0.00	μB/cell

Record 5
## KNaCuI4 (GGA-PBE)

Data for a relaxed KNaCuI4 crystal. Values from VASP.

Cell and atoms, written as Quantum ESPRESSO input:
```
&SYSTEM
  ibrav = 0, nat = 14, ntyp = 4
/
ATOMIC_SPECIES
K 39.10 K.upf
Na 22.99 Na.upf
Cu 63.55 Cu.upf
I 126.90 I.upf
CELL_PARAMETERS angstrom
8.214 0.000 0.000
0.000 6.909 0.000
-2.749 0.000 9.401
ATOMIC_POSITIONS crystal
K 0.224 0.250 0.431
K 0.776 0.750 0.569
Na 0.200 0.250 0.928
Na 0.800 0.750 0.072
Cu 0.264 0.750 0.182
Cu 0.736 0.250 0.818
I 0.086 0.750 0.368
I 0.089 0.750 0.916
I 0.496 0.506 0.763
I 0.496 0.994 0.763
I 0.504 0.006 0.237
I 0.504 0.494 0.237
I 0.911 0.250 0.084
I 0.914 0.250 0.632
```

calculated volume	38.11	Å³/atom
energy relative to the elements, uncorrected	-0.79	eV/atom
space group	P2_1/m (11)
total magnetization	0.00	μB/cell

Record 6
## AgBi3O6 (GGA-PBE)

Data for a relaxed AgBi3O6 crystal. Values from VASP.

Cell and atoms, written as Quantum ESPRESSO input:
```
&SYSTEM
  ibrav = 0, nat = 20, ntyp = 3
/
ATOMIC_SPECIES
Ag 107.87 Ag.upf
Bi 208.98 Bi.upf
O 16.00 O.upf
CELL_PARAMETERS angstrom
5.935 0.000 0.000
0.000 6.476 0.000
-5.576 0.000 8.004
ATOMIC_POSITIONS crystal
Ag 0.000 0.000 0.000
Ag 0.000 0.500 0.500
Bi 0.254 0.051 0.761
Bi 0.254 0.449 0.261
Bi 0.500 0.000 0.500
Bi 0.500 0.500 0.000
Bi 0.746 0.551 0.739
Bi 0.746 0.949 0.239
O 0.124 0.145 0.435
O 0.124 0.355 0.935
O 0.326 0.690 0.446
O 0.326 0.810 0.946
O 0.407 0.062 0.252
O 0.407 0.438 0.752
O 0.593 0.562 0.248
O 0.593 0.938 0.748
O 0.674 0.190 0.054
O 0.674 0.310 0.554
O 0.876 0.645 0.065
O 0.876 0.855 0.565
```

calculated volume	15.38	Å³/atom
energy relative to the elements, uncorrected	-0.90	eV/atom
space group	P2_1/c (14)
total magnetization	0.00	μB/cell

Please write out number 6 again, unchanged.
## AgBi3O6 (GGA-PBE)

Data for a relaxed AgBi3O6 crystal. Values from VASP.

Cell and atoms, written as Quantum ESPRESSO input:
```
&SYSTEM
  ibrav = 0, nat = 20, ntyp = 3
/
ATOMIC_SPECIES
Ag 107.87 Ag.upf
Bi 208.98 Bi.upf
O 16.00 O.upf
CELL_PARAMETERS angstrom
5.935 0.000 0.000
0.000 6.476 0.000
-5.576 0.000 8.004
ATOMIC_POSITIONS crystal
Ag 0.000 0.000 0.000
Ag 0.000 0.500 0.500
Bi 0.254 0.051 0.761
Bi 0.254 0.449 0.261
Bi 0.500 0.000 0.500
Bi 0.500 0.500 0.000
Bi 0.746 0.551 0.739
Bi 0.746 0.949 0.239
O 0.124 0.145 0.435
O 0.124 0.355 0.935
O 0.326 0.690 0.446
O 0.326 0.810 0.946
O 0.407 0.062 0.252
O 0.407 0.438 0.752
O 0.593 0.562 0.248
O 0.593 0.938 0.748
O 0.674 0.190 0.054
O 0.674 0.310 0.554
O 0.876 0.645 0.065
O 0.876 0.855 0.565
```

calculated volume	15.38	Å³/atom
energy relative to the elements, uncorrected	-0.90	eV/atom
space group	P2_1/c (14)
total magnetization	0.00	μB/cell

> Which of these has the highest calculated volume?

KNaCuI4